Density functional theory data (PBE-GGA) for a relaxed structure of ZrPt2Br.

abc: 3.432 3.432 7.521
angles: 90.00 90.00 90.00
Element x y z (fractional)
Zr1 0.000 0.000 0.442
Pt1 0.000 0.000 0.088
Br1 0.500 0.500 0.703
Pt2 0.500 0.500 0.266

Values from the calculation:
Formation energy without anion corrections   -415.0 meV/atom
Offset from the most stable computed form   48 kJ/mol of formula units
Uncorrected energy   -5.99 eV per atom

---

Density functional theory data (PBE-GGA) for a relaxed structure of ZrPtBr2.

abc: 8.943 8.943 8.943
angles: 24.77 24.77 24.77
Element x y z (fractional)
Br1 0.221 0.221 0.221
Br2 0.026 0.026 0.026
Zr1 0.766 0.766 0.766
Pt1 0.487 0.487 0.487

Values from the calculation:
Formation energy without anion corrections   -916.9 meV/atom
Offset from the most stable computed form   9 kJ/mol of formula units
Uncorrected energy   -5.40 eV per atom

---

Density functional theory data (PBE-GGA) for a relaxed structure of ZrPt2Br.

abc: 4.764 4.764 3.643
angles: 90.00 90.00 110.83
Element x y z (fractional)
Pt1 0.000 0.000 0.000
Br1 0.000 0.500 0.500
Pt2 0.500 0.500 0.000
Zr1 0.500 0.000 0.500

Values from the calculation:
Formation energy without anion corrections   -108.0 meV/atom
Offset from the most stable computed form   166 kJ/mol of formula units
Uncorrected energy   -5.68 eV per atom

---

Density functional theory data (PBE-GGA) for a relaxed structure of ZrPt2Br.

abc: 3.673 3.625 6.847
angles: 57.38 90.00 90.00
Element x y z (fractional)
Pt1 0.000 0.983 0.020
Br1 0.500 0.750 0.750
Zr1 0.500 0.250 0.250
Pt2 0.000 0.517 0.480

Values from the calculation:
Formation energy without anion corrections   -439.4 meV/atom
Offset from the most stable computed form   38 kJ/mol of formula units
Uncorrected energy   -6.02 eV per atom